The following is a DFT calculation (PBE-GGA) of a relaxed structure of Pr4Er2Sc3.

Properties
The space group is C2/c (15). As for the density of states at the Fermi level: 1.374 states/eV/atom. The value obtained for the formation energy is 0.11 eV/atom. The uncorrected energy is -0.1887 Ha/atom. As for the density: 6.20 g/cm³.

a b c (Å): 10.130 10.130 5.816
angles (deg): 96.60 96.60 69.38
Fractional coordinates of all 18 atoms:
Pr (0.045, 0.824, 0.970)
Pr (0.176, 0.955, 0.530)
Pr (0.279, 0.513, 0.697)
Pr (0.487, 0.721, 0.803)
Pr (0.513, 0.279, 0.197)
Pr (0.721, 0.487, 0.303)
Pr (0.824, 0.045, 0.470)
Pr (0.955, 0.176, 0.030)
Er (0.164, 0.383, 0.129)
Er (0.383, 0.164, 0.629)
Er (0.617, 0.836, 0.371)
Er (0.836, 0.617, 0.871)
Sc (0.028, 0.322, 0.583)
Sc (0.322, 0.028, 0.083)
Sc (0.362, 0.638, 0.250)
Sc (0.638, 0.362, 0.750)
Sc (0.678, 0.972, 0.917)
Sc (0.972, 0.678, 0.417)